PBE-GGA KCuAg, relaxed; relative energy among the computed polymorphs = 0.633 eV/atom; energy of formation = 0.8612 eV/atom; space group = No. 216
1.0
0.0000 3.7010 3.7010
3.7010 0.0000 3.7010
3.7010 3.7010 0.0000
K Cu Ag
1 1 1
Direct
0.0000 0.0000 0.0000 K
0.7500 0.7500 0.7500 Cu
0.2500 0.2500 0.2500 Ag

***

PBE-GGA SbPd2Br, relaxed; relative energy among the computed polymorphs = 0.000 eV/atom; space group = No. 122; energy relative to the elements, uncorrected = -83 meV/atom
1.0
-3.3658 3.3658 4.3576
3.3658 -3.3658 4.3576
3.3658 3.3658 -4.3576
Sb Pd Br
2 4 2
Direct
0.0000 0.0000 0.0000 Sb
0.7500 0.2500 0.5000 Sb
0.1110 0.6250 0.9860 Pd
0.3750 0.3610 0.4860 Pd
0.6390 0.1250 0.0140 Pd
0.8750 0.8890 0.5140 Pd
0.2500 0.7500 0.5000 Br
0.5000 0.5000 0.0000 Br

***

PBE-GGA SrAcEuTl, relaxed; energy of formation = 0.0210 eV/atom; space group = No. 216
1.0
0.0000 4.2668 4.2668
4.2668 0.0000 4.2668
4.2668 4.2668 0.0000
Sr Ac Eu Tl
1 1 1 1
Direct
0.0000 0.0000 0.0000 Sr
0.2500 0.2500 0.2500 Ac
0.5000 0.5000 0.5000 Eu
0.7500 0.7500 0.7500 Tl

***

PBE-GGA Tb3UPd12, relaxed; energy of formation = -0.8093 eV/atom; space group = No. 123
1.0
4.1359 0.0000 0.0000
0.0000 4.1359 0.0000
0.0000 0.0000 16.4755
Tb U Pd
3 1 12
Direct
0.0000 0.0000 0.0000 Tb
0.0000 0.0000 0.2466 Tb
0.0000 0.0000 0.7534 Tb
0.0000 0.0000 0.5000 U
0.0000 0.5000 0.1257 Pd
0.0000 0.5000 0.3794 Pd
0.0000 0.5000 0.6206 Pd
0.0000 0.5000 0.8743 Pd
0.5000 0.0000 0.1257 Pd
0.5000 0.0000 0.3794 Pd
0.5000 0.0000 0.6206 Pd
0.5000 0.0000 0.8743 Pd
0.5000 0.5000 0.0000 Pd
0.5000 0.5000 0.2520 Pd
0.5000 0.5000 0.5000 Pd
0.5000 0.5000 0.7480 Pd

***

PBE-GGA AuICl, relaxed; relative energy among the computed polymorphs = 0.007 eV/atom; space group = No. 4; energy relative to the elements, uncorrected = -115 meV/atom
1.0
6.3531 0.0000 0.0000
0.0000 4.9797 0.0000
-3.0058 0.0000 6.3818
Au I Cl
2 2 2
Direct
0.0005 0.0000 0.2523 Au
0.9995 0.5000 0.7477 Au
0.2793 0.6737 0.5699 I
0.7207 0.1737 0.4301 I
0.2004 0.8187 0.0388 Cl
0.7996 0.3187 0.9612 Cl

***

PBE-GGA CoBiPd3, relaxed; relative energy among the computed polymorphs = 0.719 eV/atom; energy of formation = 1.1891 eV/atom; space group = No. 221
1.0
5.0169 0.0000 0.0000
0.0000 5.0169 0.0000
0.0000 0.0000 5.0169
Co Bi Pd
1 1 3
Direct
0.0000 0.0000 0.0000 Co
0.5000 0.5000 0.5000 Bi
0.0000 0.5000 0.5000 Pd
0.5000 0.0000 0.5000 Pd
0.5000 0.5000 0.0000 Pd

***

Copy entry 6 word for word.
PBE-GGA CoBiPd3, relaxed; relative energy among the computed polymorphs = 0.719 eV/atom; energy of formation = 1.1891 eV/atom; space group = No. 221
1.0
5.0169 0.0000 0.0000
0.0000 5.0169 0.0000
0.0000 0.0000 5.0169
Co Bi Pd
1 1 3
Direct
0.0000 0.0000 0.0000 Co
0.5000 0.5000 0.5000 Bi
0.0000 0.5000 0.5000 Pd
0.5000 0.0000 0.5000 Pd
0.5000 0.5000 0.0000 Pd